MgBeNO | GGA-PBE | optimized geometry

The structure belongs to space group Cm (No. 8); the cell edges are 5.255, 3.029 and 4.979 Å and the angles 90.00°, 110.75° and 90.00°. Symmetry generates all atoms from Mg at (0.000, 0.000, 0.000), Be at (0.014, 0.500, 0.539), N at (0.219, 0.000, 0.655) and O at (0.400, 0.000, 0.199).

As for the total energy: -5.892 eV per atom. As for the distance to the lowest polymorph of the same formula: 48 meV per atom.

=====

MgBeNO | GGA-PBE | optimized geometry

The structure belongs to space group P3m1 (No. 156); the cell edges are 3.0441, 3.0441 and 4.5510 Å and the angles 90.00°, 90.00° and 120.00°. Symmetry generates all atoms from Mg at (0.0000, 0.0000, 0.0000), Be at (0.6667, 0.3333, 0.4536), N at (0.3333, 0.6667, 0.3298) and O at (0.6667, 0.3333, 0.7981).

As for the total energy: -5.939 eV per atom. As for the distance to the lowest polymorph of the same formula: 0 meV per atom.